The following is a PBE calculation of an optimized crystal structure of Be2CdRh, from Alexandria via LeMat-Bulk.

Lattice parameters (Å, degrees): 4.0715 4.0716 2.9805 89.98 89.98 90.03
Element x y z (fractional)
Rh 0.0000 0.5000 0.5000
Be 0.0000 0.0000 0.0000
Be 0.5000 0.5000 0.0000
Cd 0.5000 0.0000 0.5000

For the total energy, the calculation gives -4.0284 eV/atom. Its density of states at the Fermi level is 2.06 states/eV per cell. The value obtained for the formation energy is -38 kJ/mol of formula units.



The following is a PBE calculation of an optimized crystal structure of BeCd4Rh, from Alexandria via LeMat-Bulk.

Lattice parameters (Å, degrees): 5.4656 5.4656 5.4656 60.00 60.00 60.00
Element x y z (fractional)
Cd 0.3752 0.3752 0.8745
Cd 0.3752 0.3752 0.3752
Cd 0.3752 0.8745 0.3752
Cd 0.8745 0.3752 0.3752
Rh 0.7500 0.7500 0.7500
Be 0.0000 0.0000 0.0000

For the total energy, the calculation gives -1.9425 eV/atom. Its density of states at the Fermi level is 3.18 states/eV per cell. The value obtained for the formation energy is 297 kJ/mol of formula units.



The following is a PBE calculation of an optimized crystal structure of BeCdRh2, from Alexandria via LeMat-Bulk.

Lattice parameters (Å, degrees): 7.8144 7.8144 7.8144 21.55 21.55 21.55
Element x y z (fractional)
Rh 0.5170 0.5170 0.5170
Rh 0.9830 0.9830 0.9830
Cd 0.7500 0.7500 0.7500
Be 0.2500 0.2500 0.2500

For the total energy, the calculation gives -5.0270 eV/atom. Its density of states at the Fermi level is 4.58 states/eV per cell. The value obtained for the formation energy is -74 kJ/mol of formula units.



The following is a PBE calculation of an optimized crystal structure of BeCd2Rh, from Alexandria via LeMat-Bulk.

Lattice parameters (Å, degrees): 5.2644 5.2644 4.4628 65.04 65.04 35.29
Element x y z (fractional)
Be 0.2160 0.2160 0.2858
Cd 0.9757 0.9757 0.0239
Cd 0.7637 0.7637 0.7357
Rh 0.5447 0.5447 0.4546

For the total energy, the calculation gives -3.2954 eV/atom. Its density of states at the Fermi level is 1.58 states/eV per cell. The value obtained for the formation energy is -26 kJ/mol of formula units.